Li2PPb after structural relaxation, computed with PBE.

**Electronic total energy**: -13.30 eV/cell
**Volume**: 20.6 Å³/atom
**Density**: 5.068 g/cm³
**Crystal system**: cubic
**Total moment**: 0.00 μB/cell

Unit cell a=4.8882 b=4.8882 c=4.8882 alpha=60.00 beta=60.00 gamma=60.00
With the nearest neighbours (Å) after each atom.
Fractional positions:
Li  0.0000  0.0000  0.0000  4 Pb 2.99, 4 Li 2.99
Li  0.2500  0.2500  0.2500  4 P 2.99, 4 Li 2.99
P  0.5000  0.5000  0.5000  4 Pb 2.99, 4 Li 2.99
Pb  0.7500  0.7500  0.7500  4 P 2.99, 4 Li 2.99